1.
Entry from Alexandria: an optimized crystal structure of Ac2CuTe2S2 (PBE).

Results
E_tot in eV for the cell shown: -35.641
Symmetry: P-3m1
E_form (uncorrected) in meV per atom: -1256

Lattice parameters (Å, degrees): 4.924 4.924 12.644 90.00 90.00 120.00
Positions (direct):
Ac1 0.333 0.667 0.150
Ac2 0.667 0.333 0.850
Cu1 0.000 0.000 0.500
Te1 0.000 0.000 0.310
Te2 0.000 0.000 0.690
S1 0.333 0.667 0.913
S2 0.667 0.333 0.087

2.
Entry from Alexandria: an optimized crystal structure of Y2AsW (PBE).

Results
DFT formation energy in meV/atom: -96
E_tot in eV for the cell shown: -30.916
Symmetry: P4mm

Lattice parameters (Å, degrees): 3.393 3.393 8.113 90.00 90.00 90.00
Positions (direct):
Y1 0.000 0.000 0.000
Y2 0.500 0.500 0.376
As1 0.000 0.000 0.612
W1 0.500 0.500 0.750

> Among the records above, which one has the highest E_tot?

Y2AsW

> What is the formula in the second record?

Y2AsW